Record 1
## WAu3N (PBEsol)

Data for an optimized crystal structure of WAu3N.

Summary:
space group: Pm-3m (221)
Fermi-level density of states: 4.7 states/eV per cell
spin magnetization: 0.00 μB/f.u.
energy relative to the elements, uncorrected: 1.381 eV/atom
calculated total energy: -5.44 eV/atom

The structure in POSCAR format:
```
WAu3N
1.0
4.2476 0.0000 0.0000
0.0000 4.2476 0.0000
0.0000 0.0000 4.2476
Au W N
3 1 1
Direct
0.0000 0.5000 0.0000
0.0000 0.0000 0.5000
0.5000 0.0000 0.0000
0.5000 0.5000 0.5000
0.0000 0.0000 0.0000
```



Record 2
## Y3AuN (PBEsol)

Data for an optimized crystal structure of Y3AuN.

Summary:
space group: Pm-3m (221)
Fermi-level density of states: 6.9 states/eV per cell
spin magnetization: 0.00 μB/f.u.
energy relative to the elements, uncorrected: -1.067 eV/atom
calculated total energy: -7.65 eV/atom

The structure in POSCAR format:
```
Y3AuN
1.0
-1.2099 2.7221 3.6214
-4.4965 -1.1791 -0.6160
0.5530 -3.6316 2.9145
Y Au N
3 1 1
Direct
0.0000 0.5000 0.0000
0.0000 0.0000 0.5000
0.5000 0.0000 0.0000
0.5000 0.5000 0.5000
0.0000 0.0000 0.0000
```